## one
PmInHg2 | PBE | optimized geometry

a b c (Å): 4.2731 4.2731 22.1098
angles (deg): 90.00 90.00 120.00
With the nearest neighbours (Å) after each atom.
Space group R3m (No. 160, hexagonal axes)
One atom of each set of equivalent atoms:
1 Pm 0.0000 0.0000 0.0000  6 Hg 3.13-3.15
2 In 0.0000 0.0000 0.8318  6 Hg 3.01-3.03
3 Hg 0.0000 0.0000 0.4206  3 In 3.01, 3 Pm 3.13
4 Hg 0.0000 0.0000 0.5780  3 In 3.03, 3 Pm 3.15

## two
PmInHg2 | PBE | optimized geometry

a b c (Å): 3.7568 3.7568 7.3657
angles (deg): 90.00 90.00 90.00
With the nearest neighbours (Å) after each atom.
Space group P4/mmm (No. 123)
One atom of each set of equivalent atoms:
1 Pm 0.0000 0.0000 0.0000  8 Hg 3.27
2 In 0.0000 0.0000 0.5000  8 Hg 3.20
3 Hg 0.5000 0.5000 0.2587  4 In 3.20, 4 Pm 3.27, 1 Hg 3.55

## three
PmInHg2 | PBE | optimized geometry

a b c (Å): 7.3924 7.3924 7.3924
angles (deg): 90.00 90.00 90.00
With the nearest neighbours (Å) after each atom.
Space group Fm-3m (No. 225)
One atom of each set of equivalent atoms:
1 Pm 0.0000 0.0000 0.0000  8 Hg 3.20
2 In 0.0000 0.0000 0.5000  8 Hg 3.20
3 Hg 0.2500 0.2500 0.2500  4 Pm 3.20, 4 In 3.20

## four
PmInHg2 | PBE | optimized geometry

a b c (Å): 4.7827 4.7827 4.4664
angles (deg): 90.00 90.00 90.00
With the nearest neighbours (Å) after each atom.
Space group P4/mmm (No. 123)
One atom of each set of equivalent atoms:
1 Pm 0.0000 0.0000 0.0000  8 Hg 3.27, 4 In 3.38
2 In 0.5000 0.5000 0.0000  8 Hg 3.27, 4 Pm 3.38
3 Hg 0.0000 0.5000 0.5000  4 In 3.27, 4 Pm 3.27, 4 Hg 3.38

Which is the most stable structure? three is the most stable.

## one
PmIn3Hg3 | PBE | optimized geometry

a b c (Å): 10.0594 10.7322 6.9423
angles (deg): 90.00 92.85 90.00
With the nearest neighbours (Å) after each atom.
Space group C2/m (No. 12)
One atom of each set of equivalent atoms:
1 Pm 0.2176 0.0000 0.4913  6 Hg 3.23-3.27, 4 In 3.36-3.55
2 In 0.0000 0.1475 0.0000  4 Hg 3.10-3.29, 3 In 3.17-3.18
3 In 0.0000 0.2374 0.5000  6 Hg 3.08-3.23, 2 Pm 3.36
4 In 0.2265 0.5000 0.0092  6 Hg 2.91-3.22, 2 In 3.18
5 Hg 0.0021 0.5000 0.7271  4 In 2.91-3.23, 1 Hg 3.15, 1 Pm 3.23
6 Hg 0.2448 0.2529 0.2357  6 In 3.08-3.29, 2 Pm 3.26-3.27, 1 Hg 3.28

## two
PmIn3Hg3 | PBE | optimized geometry

a b c (Å): 7.8232 7.8232 7.8232
angles (deg): 90.00 90.00 90.00
With the nearest neighbours (Å) after each atom.
Space group Pm-3n (No. 223)
One atom of each set of equivalent atoms:
1 Pm 0.0000 0.0000 0.0000  12 Hg 4.37, 12 In 4.37
2 In 0.0000 0.2500 0.5000  4 Hg 2.77
3 Hg 0.0000 0.5000 0.2500  4 In 2.77

Which is the most stable structure? one is the most stable.

## one
Pm2InHg8 | PBE | optimized geometry

a b c (Å): 17.7953 4.8458 7.0453
angles (deg): 90.00 110.07 90.00
With the nearest neighbours (Å) after each atom.
Space group C2/m (No. 12)
One atom of each set of equivalent atoms:
1 Pm 0.2108 0.0000 0.1925  10 Hg 3.17-3.46
2 In 0.0000 0.5000 0.5000  8 Hg 2.96-3.23
3 Hg 0.0220 0.0000 0.2214  3 Hg 2.94-3.20, 2 In 3.23
4 Hg 0.1146 0.5000 0.9195  1 In 2.96, 3 Hg 3.09-3.18, 2 Pm 3.20
5 Hg 0.1451 0.5000 0.3791  1 In 2.98, 5 Hg 3.09-3.21, 3 Pm 3.17-3.22
6 Hg 0.1612 0.0000 0.6900  6 Hg 3.18-3.52, 3 Pm 3.23-3.34

## two
Pm2InHg8 | PBE | optimized geometry

a b c (Å): 4.7325 4.7325 12.8430
angles (deg): 90.00 90.00 90.00
With the nearest neighbours (Å) after each atom.
Space group P4/mmm (No. 123)
One atom of each set of equivalent atoms:
1 Pm 0.0000 0.0000 0.1849  12 Hg 3.24-3.35
2 In 0.0000 0.0000 0.5000  8 Hg 2.99
3 Hg 0.0000 0.5000 0.0000  8 Hg 3.32-3.35, 4 Pm 3.35
4 Hg 0.0000 0.5000 0.3574  2 In 2.99, 2 Pm 3.24, 6 Hg 3.27-3.35
5 Hg 0.5000 0.5000 0.1813  8 Hg 3.27-3.32, 4 Pm 3.35

Which is the most stable structure? two is the most stable.

## one
PmThInHg | PBE | optimized geometry

a b c (Å): 7.6959 7.6959 7.6959
angles (deg): 90.00 90.00 90.00
With the nearest neighbours (Å) after each atom.
Space group F-43m (No. 216)
One atom of each set of equivalent atoms:
1 Pm 0.0000 0.0000 0.0000  4 Hg 3.33, 4 In 3.33
2 Th 0.0000 0.0000 0.5000  4 Hg 3.33, 4 In 3.33
3 In 0.2500 0.2500 0.7500  4 Pm 3.33, 4 Th 3.33
4 Hg 0.2500 0.2500 0.2500  4 Th 3.33, 4 Pm 3.33

## two
PmThInHg | PBE | optimized geometry

a b c (Å): 3.5459 3.5459 8.8671
angles (deg): 90.00 90.00 90.00
With the nearest neighbours (Å) after each atom.
Space group P4mm (No. 99)
One atom of each set of equivalent atoms:
1 Pm 0.0000 0.0000 0.0000  4 Hg 3.29, 4 In 3.34, 4 Pm 3.55
2 Th 0.0000 0.0000 0.5072  4 Hg 3.36, 4 In 3.39, 4 Th 3.55
3 In 0.5000 0.5000 0.2495  4 Pm 3.34, 4 Th 3.39, 4 In 3.55
4 Hg 0.5000 0.5000 0.7592  4 Pm 3.29, 4 Th 3.36, 4 Hg 3.55

Which is the most stable structure? two is the most stable.

## one
PmTlInHg | PBE | optimized geometry

a b c (Å): 4.6826 4.7056 4.7566
angles (deg): 90.00 90.00 90.00
With the nearest neighbours (Å) after each atom.
Space group Pmmm (No. 47)
One atom of each set of equivalent atoms:
1 Pm 0.0000 0.0000 0.0000  4 Tl 3.32, 4 In 3.34, 4 Hg 3.35
2 Tl 0.5000 0.5000 0.0000  4 Pm 3.32, 4 Hg 3.34, 4 In 3.35
3 In 0.5000 0.0000 0.5000  4 Hg 3.32, 4 Pm 3.34, 4 Tl 3.35
4 Hg 0.0000 0.5000 0.5000  4 In 3.32, 4 Tl 3.34, 4 Pm 3.35

## two
PmTlInHg | PBE | optimized geometry

a b c (Å): 7.5506 7.5506 7.5506
angles (deg): 90.00 90.00 90.00
With the nearest neighbours (Å) after each atom.
Space group F-43m (No. 216)
One atom of each set of equivalent atoms:
1 Pm 0.0000 0.0000 0.0000  4 Tl 3.27, 4 Hg 3.27
2 Tl 0.2500 0.2500 0.7500  4 In 3.27, 4 Pm 3.27
3 In 0.0000 0.0000 0.5000  4 Hg 3.27, 4 Tl 3.27
4 Hg 0.2500 0.2500 0.2500  4 In 3.27, 4 Pm 3.27

Which is the most stable structure? one is the most stable.

## one
PrIn6Hg12 | PBE | optimized geometry

a b c (Å): 14.3594 14.3594 8.3949
angles (deg): 90.00 90.00 120.00
With the nearest neighbours (Å) after each atom.
Space group R-3 (No. 148, hexagonal axes)
One atom of each set of equivalent atoms:
1 Pr 0.0000 0.0000 0.0000  12 Hg 3.34-3.35
2 In 0.0307 0.7597 0.3476  9 Hg 3.20-3.53, 3 In 3.39-3.46
3 Hg 0.0159 0.8745 0.6737  4 In 3.20-3.38, 7 Hg 3.24-3.50, 1 Pr 3.35
4 Hg 0.0676 0.5009 0.6667  6 Hg 3.24-3.40, 5 In 3.28-3.53, 1 Pr 3.34

## two
PrIn6Hg12 | PBE | optimized geometry

a b c (Å): 11.5432 11.5432 13.4844
angles (deg): 90.00 90.00 120.00
With the nearest neighbours (Å) after each atom.
Space group R-3 (No. 148, hexagonal axes)
One atom of each set of equivalent atoms:
1 Pr 0.0000 0.0000 0.0000  6 Hg 3.27, 6 In 3.36
2 In 0.0074 0.5595 0.7062  5 Hg 3.06-3.33, 1 Pr 3.36
3 Hg 0.0354 0.8500 0.8066  4 Hg 3.13-3.41, 4 In 3.16-3.48, 1 Pr 3.27
4 Hg 0.0748 0.2174 0.4101  3 In 3.06-3.19, 4 Hg 3.13-3.28

Which is the most stable structure? one is the most stable.